<A>
ScCoCuB PBE-GGA relaxed; ρ = 6.2 g cm⁻³; magnetic moment = 0.14 Bohr magnetons per cell; V = 47.9 Å³ per cell
1.0
0.064 1.259 3.875
-2.747 -1.426 2.651
1.156 -2.558 2.954
B Co Cu Sc
1 1 1 1
Direct
0.000 0.000 0.000
0.250 0.250 0.250
0.500 0.500 0.500
0.750 0.750 0.750

<B>
ScCoCuB PBE-GGA relaxed; ρ = 6.1 g cm⁻³; magnetic moment = 0.10 Bohr magnetons per cell; V = 48.3 Å³ per cell
1.0
-2.142 -3.474 0.233
-2.545 -0.626 3.138
-4.042 0.047 -0.606
B Co Cu Sc
1 1 1 1
Direct
0.000 0.000 0.000
0.500 0.500 0.500
0.750 0.750 0.750
0.250 0.250 0.250

Question: which arrangement is favored energetically? Ranking from most to least stable: <A>, <B>.

<A>
ScCoCu4B2 PBE-GGA relaxed; ρ = 6.9 g cm⁻³; magnetic moment = 0.01 Bohr magnetons per cell; V = 91.1 Å³ per cell
1.0
3.795 0.000 0.000
0.000 3.795 0.000
0.000 0.000 6.322
B Co Cu Sc
2 1 4 1
Direct
0.000 0.000 0.000
0.500 0.500 0.500
0.500 0.500 0.000
0.500 0.000 0.218
0.000 0.500 0.218
0.500 0.000 0.782
0.000 0.500 0.782
0.000 0.000 0.500

<B>
ScCoCu4B2 PBE-GGA relaxed; ρ = 7.0 g cm⁻³; magnetic moment = 1.85 Bohr magnetons per cell; V = 90.0 Å³ per cell
1.0
3.716 0.000 0.000
0.000 3.716 0.000
0.000 0.000 6.519
B Co Cu Sc
2 1 4 1
Direct
0.000 0.000 0.000
0.500 0.500 0.500
0.000 0.000 0.500
0.500 0.000 0.276
0.000 0.500 0.276
0.500 0.000 0.724
0.000 0.500 0.724
0.500 0.500 0.000

Question: which arrangement is favored energetically? Ranking from most to least stable: <B>, <A>.

<A>
TaCoCuB PBE-GGA relaxed; ρ = 11.3 g cm⁻³; magnetic moment = 0.21 Bohr magnetons per cell; V = 46.3 Å³ per cell
1.0
-2.052 2.597 2.303
-2.629 2.549 -1.688
-3.958 -0.510 0.579
B Co Cu Ta
1 1 1 1
Direct
0.500 0.500 0.500
0.000 0.000 0.000
0.750 0.750 0.750
0.250 0.250 0.250

<B>
TaCoCuB PBE-GGA relaxed; ρ = 11.4 g cm⁻³; magnetic moment = 0.22 Bohr magnetons per cell; V = 45.9 Å³ per cell
1.0
0.112 2.659 3.010
-3.352 0.870 2.037
-0.423 -1.244 3.797
B Co Cu Ta
1 1 1 1
Direct
0.000 0.000 0.000
0.750 0.750 0.750
0.500 0.500 0.500
0.250 0.250 0.250

<C>
TaCoCuB PBE-GGA relaxed; ρ = 11.2 g cm⁻³; magnetic moment = 0.00 Bohr magnetons per cell; V = 46.6 Å³ per cell
1.0
1.001 -3.885 -0.466
-1.774 -2.829 2.272
-2.626 -2.576 -1.668
B Co Cu Ta
1 1 1 1
Direct
0.000 0.000 0.000
0.750 0.750 0.750
0.250 0.250 0.250
0.500 0.500 0.500

Question: which arrangement is favored energetically? Ranking from most to least stable: <B>, <A>, <C>.

<A>
ZnCoCuB PBE-GGA relaxed; ρ = 8.0 g cm⁻³; magnetic moment = 0.00 Bohr magnetons per cell; V = 41.3 Å³ per cell
1.0
0.000 2.744 2.744
2.744 0.000 2.744
2.744 2.744 0.000
B Co Cu Zn
1 1 1 1
Direct
0.250 0.250 0.250
0.500 0.500 0.500
0.000 0.000 0.000
0.750 0.750 0.750

<B>
ZnCoCuB PBE-GGA relaxed; ρ = 7.9 g cm⁻³; magnetic moment = 0.03 Bohr magnetons per cell; V = 41.7 Å³ per cell
1.0
0.000 2.751 2.751
2.751 0.000 2.751
2.751 2.751 0.000
B Co Cu Zn
1 1 1 1
Direct
0.000 0.000 0.000
0.750 0.750 0.750
0.500 0.500 0.500
0.250 0.250 0.250

Question: which arrangement is favored energetically? Ranking from most to least stable: <A>, <B>.